A geometry-optimized La4TlRe structure. Source: Alexandria via LeMat-Bulk, functional PBE-GGA.

Results
Magnetization = 0.0 Bohr magnetons per cell
Final energy = -70.84 eV per cell
ΔE_f = -149 meV/atom
Crystal system = monoclinic
Space group = C2/c (15)
Fermi-level density of states = 6.2 states/eV/f.u.
Excess energy over the best structure of this formula in the dataset = 0.0 kJ/mol of atoms

a b c (Å): 6.401 8.337 8.337
angles (deg): 113.93 100.42 100.42
Positions (direct):
La (0.879, 0.647, 0.798)
La (0.053, 0.942, 0.278)
La (0.621, 0.202, 0.353)
La (0.447, 0.722, 0.058)
La (0.553, 0.278, 0.942)
La (0.379, 0.798, 0.647)
La (0.947, 0.058, 0.722)
La (0.121, 0.353, 0.202)
Tl (0.750, 0.622, 0.378)
Tl (0.250, 0.378, 0.622)
Re (0.250, 0.001, 0.999)
Re (0.750, 0.999, 0.001)

---

A geometry-optimized ThZnSn2 structure. Source: Alexandria via LeMat-Bulk, functional PBE-GGA.

Results
Magnetization = 0.0 Bohr magnetons per cell
Final energy = -17.30 eV per cell
ΔE_f = -150 meV/atom
Crystal system = trigonal
Space group = R-3m (166)
Fermi-level density of states = 2.7 states/eV/f.u.

a b c (Å): 4.796 4.796 5.872
angles (deg): 65.90 65.90 60.00
Positions (direct):
Zn (0.500, 0.500, 0.500)
Sn (0.779, 0.779, 0.664)
Sn (0.221, 0.221, 0.336)
Th (0.000, 0.000, 0.000)